DFT (PBE) results for a relaxed structure of TcTeRh2.

abc: 2.930 2.930 7.768
angles: 90.00 90.00 90.00
Space group P4/mmm (No. 123)
Symmetry-distinct sites (fractional):
Tc 0.000 0.000 0.000 [1 per cell]
Te 0.000 0.000 0.500 [1 per cell]
Rh 0.500 0.500 0.223 [2 per cell]

Calculated values
Its spin magnetization is 0.0 μB per cell. Its uncorrected formation energy is 176.1 meV/atom.


DFT (PBE) results for a relaxed structure of KNi3As.

abc: 4.502 4.502 4.502
angles: 90.00 90.00 90.00
Space group Pm-3m (No. 221)
Symmetry-distinct sites (fractional):
K 0.000 0.000 0.000 [1 per cell]
Ni 0.000 0.000 0.500 [3 per cell]
As 0.500 0.500 0.500 [1 per cell]

Calculated values
Its spin magnetization is 0.0 μB per cell. The value obtained for the energy of formation is 1.97 eV per atom. The energy above the most stable polymorph in this dataset is 1645.7 meV/atom.


DFT (PBE) results for a relaxed structure of CaNd2Ni.

abc: 3.8334 3.8334 32.0137
angles: 90.00 90.00 120.00
Space group R-3m (No. 166, hexagonal axes)
Symmetry-distinct sites (fractional):
Ca 0.0000 0.0000 0.0000 [3 per cell]
Nd 0.0000 0.0000 0.1146 [6 per cell]
Ni 0.0000 0.0000 0.5000 [3 per cell]

Calculated values
Its spin magnetization is 0.0 μB per cell. The value obtained for the energy of formation is 0.03 eV per atom. The energy above the most stable polymorph in this dataset is 160.8 meV/atom.


DFT (PBE) results for a relaxed structure of Tl2GeTe3.

abc: 8.499 22.008 8.777
angles: 90.00 90.00 90.00
Space group Pnma (No. 62)
Symmetry-distinct sites (fractional):
Tl 0.160 0.168 0.027 [8 per cell]
Tl 0.229 0.005 0.950 [8 per cell]
Ge 0.154 0.169 0.520 [8 per cell]
Te 0.001 0.092 0.341 [8 per cell]
Te 0.019 0.750 0.320 [4 per cell]
Te 0.139 0.611 0.191 [8 per cell]
Te 0.189 0.750 0.849 [4 per cell]

Calculated values
Its spin magnetization is 0.0 μB per cell. Its uncorrected formation energy is -211.1 meV/atom. The energy above the most stable polymorph in this dataset is 0.0 meV/atom.


DFT (PBE) results for a relaxed structure of Tl2GaSn3.

abc: 12.001 4.783 8.465
angles: 90.00 134.58 90.00
Space group Cm (No. 8)
Symmetry-distinct sites (fractional):
Tl 0.000 0.000 0.000 [2 per cell]
Tl 0.010 0.500 0.701 [2 per cell]
Ga 0.165 0.500 0.416 [2 per cell]
Sn 0.177 0.000 0.606 [2 per cell]
Sn 0.323 0.500 0.286 [2 per cell]
Sn 0.332 0.000 0.077 [2 per cell]

Calculated values
Its spin magnetization is 0.0 μB per cell. The value obtained for the energy of formation is 0.02 eV per atom.


DFT (PBE) results for a relaxed structure of YTmTl.

abc: 9.363 9.606 4.876
angles: 90.00 90.00 90.00
Space group Cmmm (No. 65)
Symmetry-distinct sites (fractional):
Y 0.000 0.189 0.000 [4 per cell]
Tm 0.187 0.500 0.500 [4 per cell]
Tl 0.000 0.000 0.500 [2 per cell]
Tl 0.000 0.500 0.000 [2 per cell]

Calculated values
Its spin magnetization is 3.8 μB per cell. The value obtained for the energy of formation is 0.21 eV per atom. The energy above the most stable polymorph in this dataset is 476.6 meV/atom.


Number 1: E -6.88 eV per atom. Number 2: E -2.65 eV per atom. Number 3: E -4.30 eV per atom. Number 4: E -3.34 eV per atom. Number 5: E -3.27 eV per atom. Number 6: E -4.22 eV per atom.